SmEr2CdC | PBE | relaxed

Properties
Total magnetic moment   0.00 μB/cell
Calculated formation energy   -290.5 meV/atom
Theoretical density   8.38 g/cm3

Structure (CIF):
```
data_SmEr2CdC
_space_group_name_H-M_alt 'P 4/m m m'
_space_group_IT_number 123
_space_group_name_Hall '-P 4 2'
_cell_length_a 4.855
_cell_length_b 4.855
_cell_length_c 5.121
_cell_angle_alpha 90.00
_cell_angle_beta 90.00
_cell_angle_gamma 90.00
loop_
_atom_site_label
_atom_site_type_symbol
_atom_site_fract_x
_atom_site_fract_y
_atom_site_fract_z
_atom_site_occupancy
Sm1 Sm 0.000 0.000 0.000 1
Er1 Er 0.000 0.500 0.500 1
Cd1 Cd 0.500 0.500 0.000 1
C1 C 0.000 0.000 0.500 1
```